A relaxed structure of YTh3Tl12. Source: the Alexandria database, functional PBE.

Cell and atoms, written as POSCAR:
```
YTh3Tl12
1.0
-0.572 -4.741 0.120
0.729 0.032 4.721
-19.171 2.387 2.946
Tl Y Th
12 1 3
direct
0.000 0.500 0.122
0.500 0.500 0.500
0.500 0.500 0.752
0.000 0.500 0.878
0.000 0.500 0.626
0.500 0.000 0.374
0.500 0.000 0.626
0.500 0.500 0.248
0.500 0.500 0.000
0.500 0.000 0.878
0.000 0.500 0.374
0.500 0.000 0.122
0.000 0.000 0.000
0.000 0.000 0.249
0.000 0.000 0.500
0.000 0.000 0.751
```

energy of formation: -0.18 eV/atom
magnetization: 0.0 μB/f.u.
symmetry: No. 123
VASP energy: -3.747 eV/atom


A relaxed structure of Y5ThTl4. Source: the Alexandria database, functional PBE.

Cell and atoms, written as POSCAR:
```
Y5ThTl4
1.0
-0.853 2.728 -2.164
-2.471 1.096 2.355
15.017 12.557 9.912
Tl Y Th
4 5 1
direct
0.000 0.000 0.403
0.000 0.000 0.597
0.000 0.000 0.208
0.000 0.000 0.792
0.500 0.500 0.500
0.500 0.500 0.305
0.500 0.500 0.889
0.500 0.500 0.695
0.500 0.500 0.111
0.000 0.000 0.000
```

energy of formation: -0.31 eV/atom
magnetization: 0.5 μB/f.u.
symmetry: No. 123
VASP energy: -5.229 eV/atom


- Which value of magnetization does entry 1 give?
  0.0 μB/f.u.